# KLiHfAg2

A geometry-optimized KLiHfAg2 structure (GGA-PBE, Alexandria).

Unit cell a=5.322 b=6.200 c=5.322 alpha=90.00 beta=90.00 gamma=90.00
Positions (direct):
Ag1 0.500 0.000 0.000
Hf1 0.000 0.000 0.000
K1 0.000 0.500 0.000
Li1 0.500 0.500 0.500
Ag2 0.000 0.000 0.500

Properties
E_tot (eV/atom): -2.717
Volume (A^3/atom): 35.1